Version A
Dy3Ir2Rh: optimized geometry, PBE-GGA.

## Properties
D(E_F) (states/eV per cell): 3.62
Crystal system: tetragonal
Size of the total moment (μB/atom): 0.020
V (Å³ per cell): 120.9
Space group: No. 123

Cell lengths 3.431, 3.431, 10.271 Å; angles 90.00, 90.00, 90.00 degrees
Element x y z (fractional)
Dy  0.000  0.000  0.000
Dy  0.000  0.000  0.332
Dy  0.000  0.000  0.668
Ir  0.500  0.500  0.168
Ir  0.500  0.500  0.832
Rh  0.500  0.500  0.500


Version B
Dy3Ir2Rh: optimized geometry, PBE-GGA.

## Properties
D(E_F) (states/eV per cell): 2.68
Crystal system: orthorhombic
Size of the total moment (μB/atom): 0.000
V (Å³ per cell): 120.6
Space group: No. 65

Cell lengths 7.538, 7.538, 3.540 Å; angles 90.00, 90.00, 143.15 degrees
Element x y z (fractional)
Dy  0.000  0.000  0.000
Dy  0.332  0.668  0.000
Dy  0.668  0.332  0.000
Ir  0.166  0.834  0.500
Ir  0.834  0.166  0.500
Rh  0.500  0.500  0.500


Least stable = version A


Version A
Dy4IrRu2: optimized geometry, PBE-GGA.

## Properties
D(E_F) (states/eV per cell): 10.27
Crystal system: monoclinic
Size of the total moment (μB/atom): 0.000
V (Å³ per cell): 327.6
Space group: No. 12

Cell lengths 6.689, 6.689, 8.443 Å; angles 110.39, 110.39, 91.16 degrees
Element x y z (fractional)
Dy  0.136  0.712  0.728
Dy  0.266  0.266  0.853
Dy  0.288  0.864  0.272
Dy  0.358  0.358  0.265
Dy  0.642  0.642  0.735
Dy  0.712  0.136  0.728
Dy  0.734  0.734  0.147
Dy  0.864  0.288  0.272
Ir  0.294  0.294  0.545
Ir  0.706  0.706  0.455
Ru  0.000  0.000  0.000
Ru  0.000  0.000  0.500
Ru  0.000  0.500  0.000
Ru  0.500  0.000  0.000


Version B
Dy4IrRu2: optimized geometry, PBE-GGA.

## Properties
D(E_F) (states/eV per cell): 5.31
Crystal system: trigonal
Size of the total moment (μB/atom): 0.000
V (Å³ per cell): 156.6
Space group: No. 166

Cell lengths 8.245, 8.245, 8.245 Å; angles 34.04, 34.04, 34.04 degrees
Element x y z (fractional)
Dy  0.123  0.123  0.123
Dy  0.374  0.374  0.374
Dy  0.626  0.626  0.626
Dy  0.877  0.877  0.877
Ir  0.500  0.500  0.500
Ru  0.249  0.249  0.249
Ru  0.751  0.751  0.751


Least stable = version A


Version A
Dy8IrRu2: optimized geometry, PBE-GGA.

## Properties
D(E_F) (states/eV per cell): 9.95
Crystal system: monoclinic
Size of the total moment (μB/atom): 0.000
V (Å³ per cell): 275.8
Space group: No. 12

Cell lengths 9.032, 9.032, 6.822 Å; angles 106.43, 106.43, 31.23 degrees
Element x y z (fractional)
Dy  0.032  0.032  0.291
Dy  0.205  0.205  0.815
Dy  0.332  0.332  0.535
Dy  0.405  0.405  0.050
Dy  0.595  0.595  0.950
Dy  0.668  0.668  0.465
Dy  0.795  0.795  0.185
Dy  0.968  0.968  0.709
Ir  0.500  0.500  0.500
Ru  0.186  0.186  0.201
Ru  0.814  0.814  0.799


Version B
Dy8IrRu2: optimized geometry, PBE-GGA.

## Properties
D(E_F) (states/eV per cell): 10.43
Crystal system: monoclinic
Size of the total moment (μB/atom): 0.000
V (Å³ per cell): 291.8
Space group: No. 8

Cell lengths 7.537, 7.537, 5.964 Å; angles 100.90, 100.90, 113.43 degrees
Element x y z (fractional)
Dy  0.000  0.000  0.000
Dy  0.024  0.283  0.587
Dy  0.146  0.568  0.190
Dy  0.283  0.024  0.587
Dy  0.440  0.702  0.780
Dy  0.568  0.146  0.190
Dy  0.702  0.440  0.780
Dy  0.716  0.716  0.377
Ir  0.355  0.355  0.347
Ru  0.053  0.674  0.684
Ru  0.674  0.053  0.684


Least stable = version B


Version A
DyScIrRu: optimized geometry, PBE-GGA.

## Properties
D(E_F) (states/eV per cell): 1.50
Crystal system: tetragonal
Size of the total moment (μB/atom): 0.000
V (Å³ per cell): 72.8
Space group: No. 99

Cell lengths 3.312, 3.312, 6.636 Å; angles 90.00, 90.00, 90.00 degrees
Element x y z (fractional)
Dy  0.000  0.000  0.000
Sc  0.000  0.000  0.490
Ir  0.500  0.500  0.730
Ru  0.500  0.500  0.260


Version B
DyScIrRu: optimized geometry, PBE-GGA.

## Properties
D(E_F) (states/eV per cell): 2.68
Crystal system: cubic
Size of the total moment (μB/atom): 0.000
V (Å³ per cell): 72.9
Space group: No. 216

Cell lengths 4.690, 4.690, 4.690 Å; angles 60.00, 60.00, 60.00 degrees
Element x y z (fractional)
Dy  0.000  0.000  0.000
Sc  0.500  0.500  0.500
Ir  0.750  0.750  0.750
Ru  0.250  0.250  0.250


Least stable = version A


Version A
TbDyIrRu: optimized geometry, PBE-GGA.

## Properties
D(E_F) (states/eV per cell): 1.32
Crystal system: tetragonal
Size of the total moment (μB/atom): 0.000
V (Å³ per cell): 79.8
Space group: No. 99

Cell lengths 3.423, 3.423, 6.814 Å; angles 90.00, 90.00, 90.00 degrees
Element x y z (fractional)
Tb  0.000  0.000  0.000
Dy  0.000  0.000  0.492
Ir  0.500  0.500  0.745
Ru  0.500  0.500  0.247


Version B
TbDyIrRu: optimized geometry, PBE-GGA.

## Properties
D(E_F) (states/eV per cell): 2.32
Crystal system: cubic
Size of the total moment (μB/atom): 0.000
V (Å³ per cell): 80.0
Space group: No. 216

Cell lengths 4.836, 4.836, 4.836 Å; angles 60.00, 60.00, 60.00 degrees
Element x y z (fractional)
Tb  0.000  0.000  0.000
Dy  0.500  0.500  0.500
Ir  0.250  0.250  0.250
Ru  0.750  0.750  0.750


Least stable = version A


Version A
Dy3ScIr2: optimized geometry, PBE-GGA.

## Properties
D(E_F) (states/eV per cell): 4.43
Crystal system: orthorhombic
Size of the total moment (μB/atom): 0.000
V (Å³ per cell): 139.5
Space group: No. 71

Cell lengths 7.950, 7.950, 7.950 Å; angles 149.75, 146.42, 45.82 degrees
Element x y z (fractional)
Dy  0.000  0.000  0.000
Dy  0.184  0.684  0.500
Dy  0.816  0.316  0.500
Sc  0.500  0.500  0.000
Ir  0.374  0.874  0.500
Ir  0.626  0.126  0.500


Version B
Dy3ScIr2: optimized geometry, PBE-GGA.

## Properties
D(E_F) (states/eV per cell): 10.32
Crystal system: orthorhombic
Size of the total moment (μB/atom): 0.000
V (Å³ per cell): 310.4
Space group: No. 72

Cell lengths 8.224, 8.224, 8.224 Å; angles 132.48, 72.01, 129.32 degrees
Element x y z (fractional)
Dy  0.020  0.750  0.270
Dy  0.250  0.250  0.000
Dy  0.480  0.750  0.730
Dy  0.520  0.250  0.270
Dy  0.750  0.750  0.000
Dy  0.980  0.250  0.730
Sc  0.000  0.500  0.500
Sc  0.500  0.000  0.500
Ir  0.135  0.219  0.354
Ir  0.365  0.719  0.084
Ir  0.635  0.281  0.916
Ir  0.865  0.781  0.646


Least stable = version A